1 | Computed, not measured: a geometry-optimized Ce2ThSb structure at the PBE level of DFT.

Cell: 5.449 6.510 6.390 Å, 82.84 90.00 90.00°
Last column: magnetic moment on the atom in μB.
Positions (direct):
1 Sb 0.750 0.696 0.809  -0.01
2 Sb 0.250 0.304 0.191  -0.01
3 Th 0.750 0.581 0.328  0.05
4 Th 0.250 0.419 0.672  0.05
5 Ce 0.750 0.111 0.485  0.54
6 Ce 0.250 0.889 0.515  0.54
7 Ce 0.750 0.178 0.918  0.62
8 Ce 0.250 0.822 0.082  0.62

Computed properties:
For the mass density, the calculation gives 9.4 g/cm3. The calculated volume comes out at 225 Å³ per cell. The space-group type is No. 11.

=====

2 | Computed, not measured: a geometry-optimized Ce2ThSb structure at the PBE level of DFT.

Cell: 4.125 4.125 6.864 Å, 90.00 90.00 90.00°
Last column: magnetic moment on the atom in μB.
Positions (direct):
1 Ce 0.000 0.000 0.292  0.63
2 Ce 0.000 0.000 0.708  0.63
3 Th 0.500 0.500 0.000  0.09
4 Sb 0.500 0.500 0.500  -0.01

Computed properties:
For the mass density, the calculation gives 9.0 g/cm3. The calculated volume comes out at 117 Å³ per cell. The space-group type is No. 123.

=====

Which structure is the least stable? The one labeled 1.

=====

1 | Computed, not measured: a geometry-optimized Ce2ThSb3 structure at the PBE level of DFT.

Cell: 6.374 9.002 13.524 Å, 90.00 90.00 90.12°
Last column: magnetic moment on the atom in μB.
Positions (direct):
1 Sb 0.751 0.875 0.750  -0.01
2 Sb 0.750 0.875 0.417  -0.02
3 Sb 0.250 0.625 0.917  -0.02
4 Sb 0.750 0.375 0.083  -0.02
5 Sb 0.249 0.125 0.250  -0.01
6 Sb 0.251 0.626 0.584  -0.01
7 Sb 0.751 0.375 0.750  -0.01
8 Sb 0.749 0.874 0.084  -0.01
9 Sb 0.251 0.126 0.916  -0.01
10 Sb 0.249 0.625 0.250  -0.01
11 Sb 0.250 0.125 0.583  -0.02
12 Sb 0.749 0.374 0.416  -0.01
13 Ce 0.251 0.875 0.750  0.81
14 Ce 0.750 0.625 0.917  0.82
15 Ce 0.251 0.375 0.750  0.81
16 Ce 0.749 0.625 0.250  0.81
17 Ce 0.750 0.125 0.583  0.82
18 Ce 0.250 0.375 0.083  0.82
19 Ce 0.749 0.125 0.250  0.81
20 Ce 0.250 0.875 0.417  0.82
21 Th 0.249 0.875 0.083  0.02
22 Th 0.751 0.625 0.583  0.02
23 Th 0.751 0.125 0.917  0.02
24 Th 0.249 0.375 0.417  0.02

Computed properties:
For the mass density, the calculation gives 7.5 g/cm3. The calculated volume comes out at 776 Å³ per cell. The space-group type is No. 14.

=====

2 | Computed, not measured: a geometry-optimized Ce2ThSb3 structure at the PBE level of DFT.

Cell: 8.943 8.943 8.943 Å, 51.28 51.28 51.28°
Last column: magnetic moment on the atom in μB.
Positions (direct):
1 Sb 0.250 0.584 0.916  -0.02
2 Sb 0.416 0.084 0.750  -0.02
3 Sb 0.916 0.250 0.584  -0.02
4 Sb 0.584 0.916 0.250  -0.02
5 Sb 0.750 0.416 0.084  -0.02
6 Sb 0.084 0.750 0.416  -0.02
7 Th 0.500 0.500 0.500  0.04
8 Th 0.000 0.000 0.000  0.04
9 Ce 0.834 0.834 0.834  0.82
10 Ce 0.666 0.666 0.666  0.82
11 Ce 0.166 0.166 0.166  0.82
12 Ce 0.334 0.334 0.334  0.82

Computed properties:
For the mass density, the calculation gives 7.3 g/cm3. The calculated volume comes out at 402 Å³ per cell. The space-group type is No. 167.

=====

Which structure is the least stable? The one labeled 2.

=====

1 | Computed, not measured: a geometry-optimized CeTiSb structure at the PBE level of DFT.

Cell: 3.652 8.141 13.795 Å, 90.00 90.00 90.00°
Last column: magnetic moment on the atom in μB.
Positions (direct):
1 Sb 0.000 0.216 0.937  0.00
2 Sb 0.000 0.768 0.750  0.00
3 Sb 0.000 0.216 0.563  0.00
4 Sb 0.000 0.232 0.250  0.00
5 Sb 0.000 0.784 0.437  0.00
6 Sb 0.000 0.784 0.063  0.00
7 Ce 0.500 0.452 0.095  0.10
8 Ce 0.500 0.548 0.905  0.10
9 Ce 0.500 0.109 0.750  0.01
10 Ce 0.500 0.891 0.250  0.01
11 Ce 0.500 0.452 0.405  0.10
12 Ce 0.500 0.548 0.595  0.10
13 Ti 0.500 0.927 0.588  -0.07
14 Ti 0.000 0.591 0.250  0.31
15 Ti 0.500 0.073 0.412  -0.07
16 Ti 0.000 0.409 0.750  0.31
17 Ti 0.500 0.073 0.088  -0.07
18 Ti 0.500 0.927 0.912  -0.07

Computed properties:
For the mass density, the calculation gives 7.5 g/cm3. The calculated volume comes out at 410 Å³ per cell. The space-group type is No. 51.

=====

2 | Computed, not measured: a geometry-optimized CeTiSb structure at the PBE level of DFT.

Cell: 3.895 4.763 4.763 Å, 120.00 90.00 90.00°
Last column: magnetic moment on the atom in μB.
Positions (direct):
1 Ti 0.833 0.000 0.000  1.36
2 Sb 0.834 0.667 0.333  -0.05
3 Ce 0.333 0.333 0.667  1.01

Computed properties:
For the mass density, the calculation gives 6.7 g/cm3. The calculated volume comes out at 77 Å³ per cell. The space-group type is No. 187.

=====

Which structure is the least stable? The one labeled 1.

=====

1 | Computed, not measured: a geometry-optimized Ce2TlSb structure at the PBE level of DFT.

Cell: 5.463 5.463 5.463 Å, 60.00 60.00 60.00°
Last column: magnetic moment on the atom in μB.
Positions (direct):
1 Sb 0.000 0.000 0.000  0.02
2 Ce 0.250 0.250 0.250  1.02
3 Ce 0.750 0.750 0.750  1.02
4 Tl 0.500 0.500 0.500  0.06

Computed properties:
For the mass density, the calculation gives 8.7 g/cm3. The calculated volume comes out at 115 Å³ per cell. The space-group type is No. 225.

=====

2 | Computed, not measured: a geometry-optimized Ce2TlSb structure at the PBE level of DFT.

Cell: 4.332 4.328 8.471 Å, 104.83 90.00 120.03°
Last column: magnetic moment on the atom in μB.
Positions (direct):
1 Ce 0.745 0.490 0.735  0.79
2 Ce 0.255 0.510 0.265  0.79
3 Sb 0.000 0.000 0.500  -0.02
4 Tl 0.500 0.000 0.000  0.03

Computed properties:
For the mass density, the calculation gives 7.7 g/cm3. The calculated volume comes out at 131 Å³ per cell. The space-group type is No. 12.

=====

3 | Computed, not measured: a geometry-optimized Ce2TlSb structure at the PBE level of DFT.

Cell: 4.212 4.212 8.936 Å, 76.37 76.37 60.00°
Last column: magnetic moment on the atom in μB.
Positions (direct):
1 Ce 0.076 0.076 0.773  0.84
2 Ce 0.257 0.257 0.228  0.87
3 Tl 0.500 0.500 0.501  0.01
4 Sb 0.667 0.667 0.998  -0.03

Computed properties:
For the mass density, the calculation gives 7.6 g/cm3. The calculated volume comes out at 132 Å³ per cell. The space-group type is No. 160.

=====

4 | Computed, not measured: a geometry-optimized Ce2TlSb structure at the PBE level of DFT.

Cell: 4.099 4.099 6.848 Å, 90.00 90.00 90.00°
Last column: magnetic moment on the atom in μB.
Positions (direct):
1 Sb 0.500 0.500 0.000  -0.03
2 Tl 0.500 0.500 0.500  0.03
3 Ce 0.000 0.000 0.762  1.01
4 Ce 0.000 0.000 0.238  1.01

Computed properties:
For the mass density, the calculation gives 8.8 g/cm3. The calculated volume comes out at 115 Å³ per cell. The space-group type is No. 123.

=====

Which structure is the least stable? The one labeled 3.

=====

1 | Computed, not measured: a geometry-optimized CeTlSb2 structure at the PBE level of DFT.

Cell: 4.619 4.619 7.845 Å, 72.88 72.88 60.00°
Positions (direct):
1 Sb 0.739 0.739 0.782
2 Sb 0.261 0.261 0.218
3 Tl 0.500 0.500 0.500
4 Ce 0.000 0.000 0.000

Computed properties:
For the mass density, the calculation gives 7.2 g/cm3. The calculated volume comes out at 136 Å³ per cell. The space-group type is No. 166.

=====

2 | Computed, not measured: a geometry-optimized CeTlSb2 structure at the PBE level of DFT.

Cell: 4.785 4.785 7.277 Å, 70.80 70.80 60.00°
Positions (direct):
1 Ce 0.666 0.666 0.002
2 Tl 0.496 0.496 0.513
3 Sb 0.262 0.262 0.214
4 Sb 0.077 0.077 0.770

Computed properties:
For the mass density, the calculation gives 7.3 g/cm3. The calculated volume comes out at 134 Å³ per cell. The space-group type is No. 160.

=====

3 | Computed, not measured: a geometry-optimized CeTlSb2 structure at the PBE level of DFT.

Cell: 4.185 4.185 6.692 Å, 90.00 90.00 90.00°
Last column: magnetic moment on the atom in μB.
Positions (direct):
1 Sb 0.000 0.000 0.223  -0.01
2 Sb 0.000 0.000 0.777  -0.01
3 Ce 0.500 0.500 0.000  0.66
4 Tl 0.500 0.500 0.500  0.01

Computed properties:
For the mass density, the calculation gives 8.3 g/cm3. The calculated volume comes out at 117 Å³ per cell. The space-group type is No. 123.

=====

Which structure is the least stable? The one labeled 1.

=====

1 | Computed, not measured: a geometry-optimized Ce4TlSb structure at the PBE level of DFT.

Cell: 3.239 5.123 9.283 Å, 90.00 90.00 90.00°
Last column: magnetic moment on the atom in μB.
Positions (direct):
1 Tl 0.999 0.997 0.498  -0.01
2 Ce 0.499 0.497 0.319  0.57
3 Ce 0.499 0.497 0.677  0.57
4 Ce 0.499 0.997 0.828  0.54
5 Ce 0.499 0.997 0.168  0.54
6 Sb 0.999 0.497 0.998  -0.01

Computed properties:
For the mass density, the calculation gives 9.6 g/cm3. The calculated volume comes out at 154 Å³ per cell. The space-group type is No. 47.

=====

2 | Computed, not measured: a geometry-optimized Ce4TlSb structure at the PBE level of DFT.

Cell: 5.607 7.620 9.006 Å, 100.91 108.14 90.00°
Last column: magnetic moment on the atom in μB.
Positions (direct):
1 Ce 0.052 0.914 0.698  0.74
2 Ce 0.338 0.540 0.869  0.47
3 Ce 0.948 0.086 0.302  0.74
4 Ce 0.531 0.040 0.869  0.47
5 Ce 0.646 0.414 0.698  0.74
6 Ce 0.469 0.960 0.131  0.47
7 Ce 0.662 0.460 0.131  0.47
8 Ce 0.354 0.586 0.302  0.74
9 Sb 0.088 0.250 0.000  -0.01
10 Sb 0.912 0.750 0.000  -0.01
11 Tl 0.000 0.500 0.500  0.00
12 Tl 0.500 0.000 0.500  0.00

Computed properties:
For the mass density, the calculation gives 8.2 g/cm3. The calculated volume comes out at 358 Å³ per cell. The space-group type is No. 15.

=====

Which structure is the least stable? The one labeled 1.